1.
DFT (PBE) results for crystalline TbPm2Ho3Er6 at its relaxed geometry.

```
TbPm2Ho3Er6
1.0
3.067 -5.306 0.000
3.067 5.306 0.000
-2.036 0.000 11.523
Tb Pm Ho Er
1 2 3 6
Direct
0.000 0.000 0.000 Tb
0.333 0.667 0.000 Pm
0.667 0.333 0.000 Pm
0.167 0.833 0.500 Ho
0.500 0.500 0.500 Ho
0.833 0.167 0.500 Ho
0.085 0.418 0.252 Er
0.248 0.248 0.747 Er
0.418 0.085 0.252 Er
0.582 0.915 0.748 Er
0.752 0.752 0.253 Er
0.915 0.582 0.748 Er
```

Summary:
DOS(E_F) = 1.32 states/eV/atom
Energy relative to the elements = 0.020 eV/atom
VASP energy = -55.0 eV per formula unit
Space group = No. 12

2.
DFT (PBE) results for crystalline TaTcTeI2 at its relaxed geometry.

```
TaTcTeI2
1.0
5.550 0.000 0.000
0.000 5.550 0.000
0.000 0.000 5.442
Ta Tc Te I
1 1 1 2
Direct
0.000 0.000 0.000 Ta
0.500 0.500 0.500 Tc
0.000 0.000 0.500 Te
0.000 0.500 0.000 I
0.500 0.000 0.000 I
```

Summary:
DOS(E_F) = 1.13 states/eV/atom
Energy relative to the elements, uncorrected = 1.14 eV/atom
VASP energy = -22.7 eV per formula unit
Space group = No. 123
Relative energy among the computed polymorphs = 0 meV per atom

3.
DFT (PBE) results for crystalline LaCoPb2 at its relaxed geometry.

```
LaCoPb2
1.0
7.338 0.000 0.000
0.000 7.338 0.000
0.000 0.000 7.338
La Co Pb
4 4 8
Direct
0.000 0.000 0.000 La
0.000 0.500 0.500 La
0.500 0.000 0.500 La
0.500 0.500 0.000 La
0.000 0.000 0.500 Co
0.000 0.500 0.000 Co
0.500 0.000 0.000 Co
0.500 0.500 0.500 Co
0.250 0.250 0.250 Pb
0.250 0.250 0.750 Pb
0.250 0.750 0.250 Pb
0.250 0.750 0.750 Pb
0.750 0.250 0.250 Pb
0.750 0.250 0.750 Pb
0.750 0.750 0.250 Pb
0.750 0.750 0.750 Pb
```

Summary:
DOS(E_F) = 0.53 states/eV/atom
Energy relative to the elements = 0.147 eV/atom
VASP energy = -18.9 eV per formula unit
Space group = No. 225
Relative energy among the computed polymorphs = 322 meV per atom

4.
DFT (PBE) results for crystalline Be3NbS at its relaxed geometry.

```
Be3NbS
1.0
4.028 0.000 0.000
0.000 4.028 0.000
0.000 0.000 4.028
Be Nb S
3 1 1
Direct
0.000 0.000 0.500 Be
0.000 0.500 0.000 Be
0.500 0.000 0.000 Be
0.500 0.500 0.500 Nb
0.000 0.000 0.000 S
```

Summary:
DOS(E_F) = 1.00 states/eV/atom
Energy relative to the elements, uncorrected = 0.77 eV/atom
VASP energy = -21.5 eV per formula unit
Space group = No. 221
Relative energy among the computed polymorphs = 0 meV per atom

5.
DFT (PBE) results for crystalline Nd14ScIn at its relaxed geometry.

```
Nd14ScIn
1.0
7.206 0.000 0.000
0.000 7.206 0.000
0.000 0.000 10.306
Nd Sc In
14 1 1
Direct
0.000 0.000 0.000 Nd
0.000 0.500 0.000 Nd
0.000 0.500 0.500 Nd
0.250 0.250 0.258 Nd
0.250 0.250 0.742 Nd
0.250 0.750 0.258 Nd
0.250 0.750 0.742 Nd
0.500 0.000 0.000 Nd
0.500 0.000 0.500 Nd
0.500 0.500 0.000 Nd
0.750 0.250 0.258 Nd
0.750 0.250 0.742 Nd
0.750 0.750 0.258 Nd
0.750 0.750 0.742 Nd
0.000 0.000 0.500 Sc
0.500 0.500 0.500 In
```

Summary:
DOS(E_F) = 1.31 states/eV/atom
Energy relative to the elements = -0.038 eV/atom
VASP energy = -76.4 eV per formula unit
Space group = No. 123

6.
DFT (PBE) results for crystalline InFeRh2C at its relaxed geometry.

```
InFeRh2C
1.0
4.148 0.000 0.000
0.000 4.148 0.000
0.000 0.000 3.863
In Fe Rh C
1 1 2 1
Direct
0.000 0.000 0.000 In
0.500 0.500 0.000 Fe
0.000 0.500 0.500 Rh
0.500 0.000 0.500 Rh
0.500 0.500 0.500 C
```

Summary:
DOS(E_F) = 1.06 states/eV/atom
Energy relative to the elements = -0.035 eV/atom
VASP energy = -35.3 eV per formula unit
Space group = No. 123

7.
DFT (PBE) results for crystalline YTc3B at its relaxed geometry.

```
YTc3B
1.0
4.854 0.000 0.000
0.000 4.854 0.000
0.000 0.000 4.854
Y Tc B
1 3 1
Direct
0.000 0.000 0.000 Y
0.000 0.000 0.500 Tc
0.000 0.500 0.000 Tc
0.500 0.000 0.000 Tc
0.500 0.500 0.500 B
```

Summary:
DOS(E_F) = 1.07 states/eV/atom
Energy relative to the elements = 3.247 eV/atom
VASP energy = -28.0 eV per formula unit
Space group = No. 221
Relative energy among the computed polymorphs = 3203 meV per atom

8.
DFT (PBE) results for crystalline NiMo2Cl at its relaxed geometry.

```
NiMo2Cl
1.0
2.923 0.000 0.000
0.000 4.510 0.000
0.000 0.000 4.557
Ni Mo Cl
1 2 1
Direct
0.000 0.000 0.000 Ni
0.000 0.500 0.500 Mo
0.500 0.000 0.500 Mo
0.500 0.500 0.000 Cl
```

Summary:
DOS(E_F) = 1.11 states/eV/atom
Energy relative to the elements, uncorrected = 0.75 eV/atom
VASP energy = -26.3 eV per formula unit
Space group = No. 47
Relative energy among the computed polymorphs = 542 meV per atom